{
  "formula": "ZrTlCoS3",
  "functional": "GGA-PBE",
  "state": "optimized geometry",
  "volume_a3_per_fu": 135,
  "mass_density_g_cm3": 5.5,
  "raw_formation_energy_kj_per_mol_fu": -553.2,
  "dos_at_fermi_per_ev_atom": 0.301,
  "e_tot_ev_per_fu": -36.14,
  "crystal_system": "monoclinic",
  "cell": [[3.658, 0.000, 0.000], [0.000, 8.705, 0.301], [0.000, -3.856, 8.345]],
  "species": ["Zr", "Zr", "Tl", "Tl", "Co", "Co", "S", "S", "S", "S", "S", "S"],
  "frac_coords": [[0.250, 0.687, 0.164], [0.750, 0.313, 0.836], [0.250, 0.217, 0.238], [0.750, 0.783, 0.762], [0.250, 0.086, 0.600], [0.750, 0.914, 0.400], [0.750, 0.883, 0.141], [0.250, 0.117, 0.859], [0.250, 0.808, 0.468], [0.750, 0.192, 0.532], [0.750, 0.466, 0.150], [0.250, 0.534, 0.850]]
}

{
  "formula": "Nd6YEr2",
  "functional": "GGA-PBE",
  "state": "optimized geometry",
  "volume_a3_per_fu": 308,
  "mass_density_g_cm3": 6.9,
  "dos_at_fermi_per_ev_atom": 1.431,
  "e_form_kcal_per_mol_atoms": 4.58,
  "de_polymorph_mev_per_atom": 72,
  "e_tot_ev_per_fu": -42.41,
  "crystal_system": "monoclinic",
  "cell": [[-2.461, 1.781, -5.534], [-10.887, 0.437, -0.182], [-0.474, 10.786, -1.482]],
  "species": ["Nd", "Nd", "Nd", "Nd", "Nd", "Nd", "Nd", "Nd", "Nd", "Nd", "Nd", "Nd", "Y", "Y", "Er", "Er", "Er", "Er"],
  "frac_coords": [[0.404, 0.674, 0.437], [0.096, 0.563, 0.326], [0.596, 0.326, 0.563], [0.904, 0.437, 0.674], [0.814, 0.992, 0.424], [0.686, 0.576, 0.008], [0.186, 0.008, 0.576], [0.314, 0.424, 0.992], [0.266, 0.849, 0.938], [0.234, 0.062, 0.151], [0.734, 0.151, 0.062], [0.766, 0.938, 0.849], [0.250, 0.180, 0.820], [0.750, 0.820, 0.180], [0.204, 0.630, 0.765], [0.296, 0.235, 0.370], [0.796, 0.370, 0.235], [0.704, 0.765, 0.630]]
}

{
  "formula": "ZnH2SBr2",
  "functional": "GGA-PBE",
  "state": "optimized geometry",
  "volume_a3_per_fu": 168,
  "mass_density_g_cm3": 2.6,
  "dos_at_fermi_per_ev_atom": 0.000,
  "e_tot_ev_per_fu": -18.30,
  "crystal_system": "orthorhombic",
  "cell": [[8.056, 0.000, 0.000], [0.000, 5.678, 0.000], [0.000, -2.839, 7.350]],
  "species": ["Zn", "Zn", "H", "H", "H", "H", "S", "S", "Br", "Br", "Br", "Br"],
  "frac_coords": [[0.338, 0.755, 0.000], [0.838, 0.245, 0.000], [0.698, 0.810, 0.135], [0.698, 0.675, 0.865], [0.198, 0.325, 0.135], [0.198, 0.190, 0.865], [0.641, 0.896, 0.000], [0.141, 0.104, 0.000], [0.299, 0.720, 0.284], [0.299, 0.436, 0.716], [0.799, 0.280, 0.716], [0.799, 0.564, 0.284]]
}

{
  "formula": "ZrZnAs",
  "functional": "GGA-PBE",
  "state": "optimized geometry",
  "volume_a3_per_fu": 61,
  "mass_density_g_cm3": 6.3,
  "dos_at_fermi_per_ev_atom": 1.038,
  "e_form_kcal_per_mol_atoms": 2.70,
  "e_tot_ev_per_fu": -14.12,
  "crystal_system": "cubic",
  "cell": [[4.428, 0.000, 0.000], [2.214, 3.834, 0.000], [2.214, 1.278, 3.615]],
  "species": ["As", "Zn", "Zr"],
  "frac_coords": [[0.500, 0.500, 0.500], [0.250, 0.250, 0.250], [0.000, 0.000, 0.000]]
}

{
  "formula": "AcPm2As",
  "functional": "GGA-PBE",
  "state": "optimized geometry",
  "volume_a3_per_fu": 149,
  "mass_density_g_cm3": 6.6,
  "dos_at_fermi_per_ev_atom": 1.475,
  "e_form_kcal_per_mol_atoms": -11.32,
  "de_polymorph_mev_per_atom": 173,
  "e_tot_ev_per_fu": -20.22,
  "crystal_system": "trigonal",
  "cell": [[3.970, 0.000, 0.000], [1.985, 3.438, 0.000], [1.985, 1.146, 10.911]],
  "species": ["Ac", "As", "Pm", "Pm"],
  "frac_coords": [[0.000, 0.000, 0.000], [0.500, 0.500, 0.500], [0.114, 0.114, 0.658], [0.886, 0.886, 0.342]]
}

{
  "formula": "CaCeAl2Ga2",
  "functional": "GGA-PBE",
  "state": "optimized geometry",
  "volume_a3_per_fu": 138,
  "mass_density_g_cm3": 4.5,
  "dos_at_fermi_per_ev_atom": 0.892,
  "e_form_kcal_per_mol_atoms": -10.32,
  "e_tot_ev_per_fu": -24.16,
  "crystal_system": "trigonal",
  "cell": [[-2.252, -1.823, -3.292], [4.146, 1.284, -0.627], [2.668, -7.484, 2.319]],
  "species": ["Ca", "Ce", "Al", "Al", "Ga", "Ga"],
  "frac_coords": [[0.000, 0.000, 0.000], [0.000, 0.000, 0.500], [0.333, 0.667, 0.734], [0.667, 0.333, 0.266], [0.333, 0.667, 0.267], [0.667, 0.333, 0.733]]
}

{
  "formula": "AlFeMoRu2",
  "functional": "GGA-PBE",
  "state": "optimized geometry",
  "volume_a3_per_fu": 100,
  "mass_density_g_cm3": 6.4,
  "dos_at_fermi_per_ev_atom": 1.955,
  "e_form_kcal_per_mol_atoms": 41.54,
  "e_tot_ev_per_fu": -32.58,
  "crystal_system": "tetragonal",
  "cell": [[4.580, 0.000, 0.000], [0.000, 4.746, 0.000], [0.000, 0.000, 4.580]],
  "species": ["Ru", "Ru", "Mo", "Fe", "Al"],
  "frac_coords": [[0.000, 0.000, 0.500], [0.500, 0.000, 0.000], [0.000, 0.000, 0.000], [0.500, 0.500, 0.500], [0.000, 0.500, 0.000]]
}

{
  "formula": "Ho3TeS3",
  "functional": "GGA-PBE",
  "state": "optimized geometry",
  "volume_a3_per_fu": 190,
  "mass_density_g_cm3": 6.3,
  "raw_formation_energy_kj_per_mol_fu": -1206.7,
  "dos_at_fermi_per_ev_atom": 0.224,
  "e_tot_ev_per_fu": -41.76,
  "crystal_system": "trigonal",
  "cell": [[7.857, 0.000, 0.000], [3.929, 6.805, 0.000], [3.929, 2.268, 7.104]],
  "species": ["Ho", "Ho", "Ho", "Ho", "Ho", "Ho", "Te", "Te", "S", "S", "S", "S", "S", "S"],
  "frac_coords": [[0.290, 0.522, 0.297], [0.890, 0.290, 0.297], [0.522, 0.890, 0.297], [0.478, 0.110, 0.703], [0.110, 0.710, 0.703], [0.710, 0.478, 0.703], [0.329, 0.329, 0.012], [0.671, 0.671, 0.988], [0.381, 0.838, 0.670], [0.838, 0.111, 0.670], [0.111, 0.381, 0.670], [0.889, 0.619, 0.330], [0.162, 0.889, 0.330], [0.619, 0.162, 0.330]]
}